a.
VASP calculation (PBE) on crystalline TlCuC3 at its relaxed geometry.

```
TlCuC3
1.0
4.013 0.000 0.000
0.000 4.013 0.000
0.000 0.000 4.013
Tl Cu C
1 1 3
Direct
0.000 0.000 0.000
0.500 0.500 0.500
0.000 0.500 0.500
0.500 0.000 0.500
0.500 0.500 0.000
```

Results
Its crystal system is cubic. The calculation puts the calculated density at 7.81 Mg/m³.


b.
VASP calculation (PBE) on crystalline TlCuC3 at its relaxed geometry.

```
TlCuC3
1.0
4.401 0.000 0.000
0.000 4.401 0.000
0.000 0.000 4.401
Tl Cu C
1 1 3
Direct
0.000 0.000 0.000
0.500 0.500 0.500
0.000 0.000 0.500
0.000 0.500 0.000
0.500 0.000 0.000
```

Results
Its crystal system is cubic. The calculation puts the calculated density at 5.92 Mg/m³.


Q: What are the energies relative to the best structure? A: a 0.0; b 100.3, in kJ/mol of atoms.


a.
VASP calculation (PBE) on crystalline Tl3CuC at its relaxed geometry.

```
Tl3CuC
1.0
5.197 0.000 0.000
0.000 5.197 0.000
0.000 0.000 5.197
Tl Cu C
3 1 1
Direct
0.000 0.000 0.500
0.000 0.500 0.000
0.500 0.000 0.000
0.000 0.000 0.000
0.500 0.500 0.500
```

Results
Its crystal system is cubic. The calculation puts the calculated density at 8.15 Mg/m³.


b.
VASP calculation (PBE) on crystalline Tl3CuC at its relaxed geometry.

```
Tl3CuC
1.0
4.973 0.000 0.000
0.000 4.973 0.000
0.000 0.000 4.973
Tl Cu C
3 1 1
Direct
0.000 0.000 0.500
0.000 0.500 0.000
0.500 0.000 0.000
0.500 0.500 0.500
0.000 0.000 0.000
```

Results
Its crystal system is cubic. The calculation puts the calculated density at 9.30 Mg/m³.


Q: What are the energies relative to the best structure? A: a 23.4; b 0.0, in kJ/mol of atoms.